A relaxed Tm2Mn2O5 crystal. Source: Alexandria via LeMat-Bulk, functional PBE+U.

Values from the calculation:
DFT total energy ... -7.99 eV/atom

Cell: 6.151 6.151 6.649 Å, 121.12 121.12 34.70°
Positions (direct):
Tm: 0.116 0.116 0.471
Tm: 0.884 0.884 0.529
Mn: 0.365 0.365 0.036
Mn: 0.635 0.635 0.964
O: 0.132 0.132 0.832
O: 0.343 0.343 0.698
O: 0.500 0.500 0.500
O: 0.657 0.657 0.302
O: 0.868 0.868 0.168